An optimized crystal structure of Ba2Li2Cd. Source: the Alexandria database, functional PBE.

Space group = Immm, No. 71
Energy of formation from the pure elements = -0.1196 eV/atom

Cell lengths 6.7740, 6.7740, 6.7740 Å; angles 134.13, 125.93, 73.56 degrees
Fractional coordinates of all 5 atoms:
Ba (0.1946, 0.1946, 0.0000)
Ba (0.8054, 0.8054, 0.0000)
Li (0.2600, 0.5000, 0.7600)
Li (0.7400, 0.5000, 0.2400)
Cd (0.5000, 0.0000, 0.5000)

=====

An optimized crystal structure of BeCuAg3. Source: the Alexandria database, functional PBE.

Space group = Pm-3m, No. 221
Energy of formation from the pure elements = 0.5159 eV/atom

Cell lengths 4.3907, 4.3907, 4.3907 Å; angles 90.00, 90.00, 90.00 degrees
Fractional coordinates of all 5 atoms:
Be (0.0000, 0.0000, 0.0000)
Cu (0.5000, 0.5000, 0.5000)
Ag (0.0000, 0.0000, 0.5000)
Ag (0.0000, 0.5000, 0.0000)
Ag (0.5000, 0.0000, 0.0000)

=====

An optimized crystal structure of VSiSn2As. Source: the Alexandria database, functional PBE.

Space group = P4/mmm, No. 123
Formation energy without anion corrections = 4.322 eV per formula unit

Cell lengths 5.3678, 5.3678, 4.6881 Å; angles 90.00, 90.00, 90.00 degrees
Fractional coordinates of all 5 atoms:
V (0.0000, 0.0000, 0.0000)
Si (0.5000, 0.5000, 0.0000)
Sn (0.0000, 0.5000, 0.5000)
Sn (0.5000, 0.0000, 0.5000)
As (0.0000, 0.0000, 0.5000)

=====

An optimized crystal structure of ZnMo5. Source: the Alexandria database, functional PBE.

Space group = P-62m, No. 189
Energy of formation from the pure elements = 0.3149 eV/atom

Cell lengths 4.9099, 4.9099, 4.5092 Å; angles 90.00, 90.00, 120.00 degrees
Fractional coordinates of all 6 atoms:
Zn (0.0000, 0.0000, 0.0000)
Mo (0.0000, 0.6704, 0.5000)
Mo (0.3296, 0.3296, 0.5000)
Mo (0.3333, 0.6667, 0.0000)
Mo (0.6667, 0.3333, 0.0000)
Mo (0.6704, 0.0000, 0.5000)

=====

For reference, N(E_F) by record: 0.72 0.32 0.79 1.11 states/eV per atom.